No. 1
Density functional theory data (PBE-GGA) for a relaxed TcP2Br crystal.

DFT total energy   -22.25 eV per cell

a b c (Å): 3.145 3.145 7.765
angles (deg): 90.00 90.00 90.00
Positions (direct):
Tc 0.000 0.000 0.000
P 0.000 0.000 0.696
P 0.500 0.500 0.850
Br 0.500 0.500 0.245


No. 2
Density functional theory data (PBE-GGA) for a relaxed TcP2Br crystal.

DFT total energy   -19.34 eV per cell

a b c (Å): 3.062 4.442 4.631
angles (deg): 90.00 90.00 90.00
Positions (direct):
Tc 0.000 0.000 0.000
P 0.000 0.500 0.500
P 0.500 0.000 0.500
Br 0.500 0.500 0.000


No. 3
Density functional theory data (PBE-GGA) for a relaxed TcPBr4 crystal.

DFT total energy   -13.77 eV per cell

a b c (Å): 6.171 6.171 6.171
angles (deg): 60.00 60.00 60.00
Positions (direct):
Tc 0.000 0.000 0.000
P 0.250 0.250 0.250
Br 0.123 0.626 0.626
Br 0.626 0.123 0.626
Br 0.626 0.626 0.123
Br 0.626 0.626 0.626